# Pa2Co3B12Ir

Pa2Co3B12Ir after structural relaxation (GGA-PBE, Alexandria).

Output
The calculation puts the formation energy from the elements at -0.015 eV per atom.

Unit cell a=5.6061 b=5.6061 c=21.7226 alpha=90.00 beta=90.00 gamma=120.00
Closest atoms and distances in Å follow each position.
Space group R-3m (No. 166, hexagonal axes)
One atom of each set of equivalent atoms:
1 Pa 0.0000 0.0000 0.1332  3 B 2.59
2 Co 0.0000 0.5000 0.0000  6 B 2.09
3 B 0.0468 0.5234 0.0956  2 B 1.69
4 B 0.1060 0.2120 0.7375  4 B 1.69-1.78
5 Ir 0.0000 0.0000 0.5000  6 B 2.08

***

# Ac4Pm3Pr2

Ac4Pm3Pr2 after structural relaxation (GGA-PBE, Alexandria).

Output
The calculation puts the formation energy from the elements at 0.085 eV per atom. For the energy above the most stable polymorph in this dataset, the calculation gives 49 meV per atom.

Unit cell a=3.8268 b=3.8268 c=28.4036 alpha=90.00 beta=90.00 gamma=120.00
Closest atoms and distances in Å follow each position.
Space group P3m1 (No. 156)
One atom of each set of equivalent atoms:
1 Ac 0.0000 0.0000 0.0000  1 Pr 3.69, 3 Pm 3.76, 6 Ac 3.83
2 Ac 0.0000 0.0000 0.2171  9 Ac 3.83-4.03, 3 Pm 3.83
3 Ac 0.3333 0.6667 0.3358  3 Pm 3.79, 9 Ac 3.83-4.03
4 Ac 0.3333 0.6667 0.5536  3 Pm 3.81, 6 Ac 3.83, 3 Pr 3.85
5 Pm 0.0000 0.0000 0.4442  6 Ac 3.79-3.81, 6 Pm 3.83
6 Pm 0.3333 0.6667 0.1070  6 Ac 3.76-3.83, 6 Pm 3.83
7 Pm 0.3333 0.6667 0.7694  6 Pr 3.62-3.71, 6 Pm 3.83
8 Pr 0.0000 0.0000 0.6645  3 Pm 3.71, 6 Pr 3.83, 3 Ac 3.85
9 Pr 0.0000 0.0000 0.8702  3 Pm 3.62, 1 Ac 3.69, 6 Pr 3.83

***

# NaLiAcBi

NaLiAcBi after structural relaxation (GGA-PBE, Alexandria).

Output
The calculation puts the formation energy from the elements at -0.285 eV per atom.

Unit cell a=7.9917 b=7.9917 c=7.9917 alpha=90.00 beta=90.00 gamma=90.00
Closest atoms and distances in Å follow each position.
Space group F-43m (No. 216)
One atom of each set of equivalent atoms:
1 Na 0.0000 0.0000 0.0000  4 Li 3.46, 4 Bi 3.46
2 Li 0.2500 0.2500 0.7500  4 Ac 3.46, 4 Na 3.46
3 Ac 0.0000 0.0000 0.5000  4 Bi 3.46, 4 Li 3.46
4 Bi 0.2500 0.2500 0.2500  4 Na 3.46, 4 Ac 3.46

***

# Cs2NaAs2O6

Cs2NaAs2O6 after structural relaxation (GGA-PBE, Alexandria).

Output
The uncorrected formation energy comes out at -1.43 eV per atom.

Unit cell a=11.1953 b=6.3891 c=7.2075 alpha=90.00 beta=120.11 gamma=90.00
Closest atoms and distances in Å follow each position.
Space group C2/m (No. 12)
One atom of each set of equivalent atoms:
1 Cs 0.2179 0.0000 0.1695  9 O 3.25-3.57
2 Na 0.0000 0.0000 0.5000  6 O 2.48-2.58
3 As 0.0643 0.5000 0.2150  3 O 1.70
4 O 0.0017 0.2737 0.2578  1 As 1.70
5 O 0.2333 0.5000 0.2835  1 As 1.70